Record 1
## Ba7HfN6 (PBEsol)

Data for a geometry-optimized Ba7HfN6 structure.

Cell: 7.098 12.358 14.676 Å, 90.00 90.00 90.00°
Positions (direct):
Ba (0.257, 0.984, 0.029)
Ba (0.243, 0.516, 0.529)
Ba (0.243, 0.484, 0.971)
Ba (0.257, 0.016, 0.471)
Ba (0.743, 0.016, 0.971)
Ba (0.757, 0.484, 0.471)
Ba (0.757, 0.516, 0.029)
Ba (0.743, 0.984, 0.529)
Ba (0.239, 0.738, 0.371)
Ba (0.261, 0.762, 0.871)
Ba (0.261, 0.238, 0.629)
Ba (0.239, 0.262, 0.129)
Ba (0.761, 0.262, 0.629)
Ba (0.739, 0.238, 0.129)
Ba (0.739, 0.762, 0.371)
Ba (0.761, 0.738, 0.871)
Ba (0.390, 0.713, 0.118)
Ba (0.110, 0.787, 0.618)
Ba (0.110, 0.213, 0.882)
Ba (0.390, 0.287, 0.382)
Ba (0.610, 0.287, 0.882)
Ba (0.890, 0.213, 0.382)
Ba (0.890, 0.787, 0.118)
Ba (0.610, 0.713, 0.618)
Ba (0.552, 0.000, 0.250)
Ba (0.948, 0.500, 0.750)
Ba (0.448, 0.000, 0.750)
Ba (0.052, 0.500, 0.250)
Hf (0.059, 0.000, 0.250)
Hf (0.441, 0.500, 0.750)
Hf (0.941, 0.000, 0.750)
Hf (0.559, 0.500, 0.250)
N (0.237, 0.873, 0.216)
N (0.263, 0.627, 0.716)
N (0.263, 0.373, 0.784)
N (0.237, 0.127, 0.284)
N (0.763, 0.127, 0.784)
N (0.737, 0.373, 0.284)
N (0.737, 0.627, 0.216)
N (0.763, 0.873, 0.716)
N (0.447, 0.832, 0.491)
N (0.053, 0.668, 0.991)
N (0.053, 0.332, 0.509)
N (0.447, 0.168, 0.009)
N (0.553, 0.168, 0.509)
N (0.947, 0.332, 0.009)
N (0.947, 0.668, 0.491)
N (0.553, 0.832, 0.991)
N (0.387, 0.532, 0.360)
N (0.113, 0.968, 0.860)
N (0.113, 0.032, 0.640)
N (0.387, 0.468, 0.140)
N (0.613, 0.468, 0.640)
N (0.887, 0.032, 0.140)
N (0.887, 0.968, 0.360)
N (0.613, 0.532, 0.860)

**Calculated total energy**: -6.234 eV per atom
**Formation energy without anion corrections**: -0.755 eV per atom

Record 2
## Ba5Hf2N6 (PBEsol)

Data for a geometry-optimized Ba5Hf2N6 structure.

Cell: 6.670 6.670 14.727 Å, 84.22 84.22 66.55°
Positions (direct):
Ba (0.690, 0.234, 0.982)
Ba (0.766, 0.310, 0.518)
Ba (0.310, 0.766, 0.018)
Ba (0.234, 0.690, 0.482)
Ba (0.787, 0.901, 0.707)
Ba (0.099, 0.213, 0.793)
Ba (0.213, 0.099, 0.293)
Ba (0.901, 0.787, 0.207)
Ba (0.395, 0.605, 0.750)
Ba (0.605, 0.395, 0.250)
Hf (0.347, 0.101, 0.576)
Hf (0.899, 0.653, 0.924)
Hf (0.653, 0.899, 0.424)
Hf (0.101, 0.347, 0.076)
N (0.079, 0.035, 0.621)
N (0.965, 0.921, 0.879)
N (0.921, 0.965, 0.379)
N (0.035, 0.079, 0.121)
N (0.444, 0.266, 0.659)
N (0.734, 0.556, 0.841)
N (0.556, 0.734, 0.341)
N (0.266, 0.444, 0.159)
N (0.601, 0.798, 0.559)
N (0.202, 0.399, 0.941)
N (0.399, 0.202, 0.441)
N (0.798, 0.601, 0.059)

**Calculated total energy**: -7.391 eV per atom
**Formation energy without anion corrections**: -1.013 eV per atom

Record 3
## BaHfN2 (PBEsol)

Data for a geometry-optimized BaHfN2 structure.

Cell: 5.938 5.992 5.938 Å, 60.30 90.00 119.70°
Positions (direct):
Hf (0.750, 0.500, 0.750)
Hf (0.000, 0.000, 0.000)
Ba (0.250, 0.500, 0.250)
Ba (0.500, 0.000, 0.500)
N (0.029, 0.750, 0.875)
N (0.721, 0.750, 0.375)
N (0.375, 0.250, 0.029)
N (0.875, 0.250, 0.721)

**Calculated total energy**: -8.814 eV per atom
**Formation energy without anion corrections**: -1.388 eV per atom
**Density of states at the Fermi level**: 0.0000 states/eV per atom